No. 1
## Dy3AlNiS7 (PBEsol)

Data for a geometry-optimized Dy3AlNiS7 structure.

Cell: 9.3648 9.3648 6.1017 Å, 90.00 90.00 120.00°
Space group P6_3 (No. 173)
Asymmetric unit:
Dy  0.1616  0.7858  0.0000
Al  0.3333  0.6667  0.5739
Ni  0.0000  0.0000  0.1696
S  0.0836  0.5231  0.7268
S  0.1025  0.8705  0.4090
S  0.3333  0.6667  0.2097

Density of states at the Fermi level in states/eV per cell: 2.39
Formation energy from raw total energies in eV/atom: -1.60
Volume in Å³ per cell: 463.4

No. 2
## IrBr2Cl (PBEsol)

Data for a geometry-optimized IrBr2Cl structure.

Cell: 4.742 3.676 6.808 Å, 90.00 110.23 90.00°
Space group P2/m (No. 10)
Asymmetric unit:
Ir  0.000  0.000  0.000
Br  0.129  0.500  0.260
Cl  0.500  0.000  0.000

Energy above the lowest structure with this stoichiometry in meV per atom: 0
Density of states at the Fermi level in states/eV per cell: 4.95
Formation energy from raw total energies in eV/atom: -0.13
Volume in Å³ per cell: 111.4

No. 3
## SrCaNiP2O8 (PBEsol)

Data for a geometry-optimized SrCaNiP2O8 structure.

Cell: 5.613 6.833 9.251 Å, 109.22 101.39 98.43°
Space group P-1 (No. 2)
Asymmetric unit:
Sr  0.228  0.193  0.432
Ca  0.486  0.577  0.836
Ni  0.148  0.852  0.058
P  0.114  0.583  0.274
P  0.344  0.033  0.799
O  0.086  0.406  0.109
O  0.110  0.458  0.659
O  0.134  0.965  0.874
O  0.144  0.801  0.256
O  0.233  0.005  0.628
O  0.357  0.569  0.381
O  0.454  0.102  0.194
O  0.496  0.265  0.905

Formation energy from raw total energies in eV/atom: -2.43
Volume in Å³ per cell: 319.7

No. 4
## Rb2PtAu (PBEsol)

Data for a geometry-optimized Rb2PtAu structure.

Cell: 7.774 7.774 7.774 Å, 90.00 90.00 90.00°
Space group Fm-3m (No. 225)
Asymmetric unit:
Rb  0.250  0.250  0.250
Pt  0.000  0.000  0.000
Au  0.000  0.000  0.500

Density of states at the Fermi level in states/eV per cell: 11.84
E_form in eV/atom: 0.457
Volume in Å³ per cell: 469.8

No. 5
## HfTcAs2Se (PBEsol)

Data for a geometry-optimized HfTcAs2Se structure.

Cell: 5.064 5.064 4.978 Å, 90.00 90.00 90.00°
Space group P4/mmm (No. 123)
Asymmetric unit:
Hf  0.000  0.000  0.000
Tc  0.500  0.500  0.500
As  0.000  0.500  0.000
Se  0.000  0.000  0.500

Density of states at the Fermi level in states/eV per cell: 3.56
Formation energy from raw total energies in eV/atom: 0.88
Volume in Å³ per cell: 127.7

No. 6
## CdReRu2 (PBEsol)

Data for a geometry-optimized CdReRu2 structure.

Cell: 5.638 7.590 2.761 Å, 90.00 90.00 90.00°
Space group Cmmm (No. 65)
Asymmetric unit:
Cd  0.000  0.000  0.000
Re  0.000  0.500  0.000
Ru  0.250  0.250  0.500

Density of states at the Fermi level in states/eV per cell: 10.69
E_form in eV/atom: 0.478
Volume in Å³ per cell: 118.1

No. 7
## BaH3Pd (PBEsol)

Data for a geometry-optimized BaH3Pd structure.

Cell: 5.634 5.634 7.771 Å, 90.00 90.00 90.00°
Space group I4/mcm (No. 140)
Asymmetric unit:
Ba  0.000  0.000  0.250
H  0.000  0.500  0.250
H  0.224  0.276  0.000
Pd  0.000  0.500  0.000

Total DFT energy (no corrections) in eV per atom: -4.114
Density of states at the Fermi level in states/eV per cell: 3.22
Volume in Å³ per cell: 246.6

No. 8
## SrSbRh2 (PBEsol)

Data for a geometry-optimized SrSbRh2 structure.

Cell: 3.280 3.280 7.250 Å, 90.00 90.00 90.00°
Space group P4/mmm (No. 123)
Asymmetric unit:
Sr  0.000  0.000  0.000
Sb  0.000  0.000  0.500
Rh  0.500  0.500  0.303

Density of states at the Fermi level in states/eV per cell: 2.58
Formation energy from raw total energies in eV/atom: -0.24
Volume in Å³ per cell: 78.0

No. 9
## NiSbI2Br (PBEsol)

Data for a geometry-optimized NiSbI2Br structure.

Cell: 5.057 5.057 5.172 Å, 90.00 90.00 90.00°
Space group P4/mmm (No. 123)
Asymmetric unit:
Ni  0.000  0.000  0.000
Sb  0.000  0.000  0.500
I  0.000  0.500  0.000
Br  0.500  0.500  0.500

Energy above the lowest structure with this stoichiometry in meV per atom: 0
Density of states at the Fermi level in states/eV per cell: 4.01
Formation energy from raw total energies in eV/atom: 0.15
Volume in Å³ per cell: 132.3

No. 10
## CoOs (PBEsol)

Data for a geometry-optimized CoOs structure.

Cell: 4.526 4.121 5.150 Å, 90.00 90.00 90.00°
Space group Pnma (No. 62)
Asymmetric unit:
Co  0.084  0.250  0.121
Os  0.086  0.250  0.626

Density of states at the Fermi level in states/eV per cell: 7.34
E_form in eV/atom: 0.035
Volume in Å³ per cell: 96.1

No. 11
## ScReRu (PBEsol)

Data for a geometry-optimized ScReRu structure.

Cell: 2.899 2.899 11.464 Å, 90.00 90.00 90.00°
Space group I4mm (No. 107)
Asymmetric unit:
Sc  0.000  0.000  0.000
Re  0.000  0.000  0.688
Ru  0.000  0.000  0.320

Energy above the lowest structure with this stoichiometry in meV per atom: 0
Density of states at the Fermi level in states/eV per cell: 7.25
E_form in eV/atom: -0.086
Volume in Å³ per cell: 96.3

No. 12
## CuIr2Pd (PBEsol)

Data for a geometry-optimized CuIr2Pd structure.

Cell: 6.019 6.019 6.019 Å, 90.00 90.00 90.00°
Space group Fm-3m (No. 225)
Asymmetric unit:
Cu  0.000  0.000  0.000
Ir  0.250  0.250  0.250
Pd  0.000  0.000  0.500

Density of states at the Fermi level in states/eV per cell: 19.18
E_form in eV/atom: 0.380
Volume in Å³ per cell: 218.0

No. 13
## In2AsPt (PBEsol)

Data for a geometry-optimized In2AsPt structure.

Cell: 4.254 4.254 8.516 Å, 90.00 90.00 90.00°
Space group I-4m2 (No. 119)
Asymmetric unit:
In  0.000  0.000  0.000
In  0.000  0.500  0.250
As  0.000  0.500  0.750
Pt  0.000  0.000  0.500

Density of states at the Fermi level in states/eV per cell: 3.68
E_form in eV/atom: 0.040
Volume in Å³ per cell: 154.1

No. 14
## K2PPbCl (PBEsol)

Data for a geometry-optimized K2PPbCl structure.

Cell: 6.380 6.380 4.609 Å, 90.00 90.00 90.00°
Space group P4/mmm (No. 123)
Asymmetric unit:
K  0.000  0.500  0.000
P  0.000  0.000  0.000
Pb  0.500  0.500  0.500
Cl  0.000  0.000  0.500

Density of states at the Fermi level in states/eV per cell: 5.12
Formation energy from raw total energies in eV/atom: 0.12
Volume in Å³ per cell: 187.6

No. 15
## Ta3BH (PBEsol)

Data for a geometry-optimized Ta3BH structure.

Cell: 4.267 4.267 4.267 Å, 90.00 90.00 90.00°
Space group Pm-3m (No. 221)
Asymmetric unit:
Ta  0.000  0.000  0.500
B  0.000  0.000  0.000
H  0.500  0.500  0.500

Total DFT energy (no corrections) in eV per atom: -8.681
Density of states at the Fermi level in states/eV per cell: 3.73
Volume in Å³ per cell: 77.7

No. 16
## CuMoAu2 (PBEsol)

Data for a geometry-optimized CuMoAu2 structure.

Cell: 2.689 4.530 4.994 Å, 90.00 90.00 90.00°
Space group Pmm2 (No. 25)
Asymmetric unit:
Cu  0.000  0.000  0.000
Mo  0.000  0.500  0.322
Au  0.500  0.000  0.489
Au  0.500  0.500  0.834

Energy above the lowest structure with this stoichiometry in meV per atom: 0
Density of states at the Fermi level in states/eV per cell: 1.65
E_form in eV/atom: 0.197
Volume in Å³ per cell: 60.8

No. 17
## SrMgPtW2 (PBEsol)

Data for a geometry-optimized SrMgPtW2 structure.

Cell: 4.891 4.891 4.990 Å, 90.00 90.00 90.00°
Space group P4/mmm (No. 123)
Asymmetric unit:
Sr  0.000  0.000  0.000
Mg  0.500  0.500  0.000
Pt  0.500  0.500  0.500
W  0.000  0.500  0.500

Density of states at the Fermi level in states/eV per cell: 5.82
E_form in eV/atom: 1.164
Volume in Å³ per cell: 119.4

No. 18
## TlSbN2F (PBEsol)

Data for a geometry-optimized TlSbN2F structure.

Cell: 4.255 4.255 4.271 Å, 90.00 90.00 90.00°
Space group P4/mmm (No. 123)
Asymmetric unit:
Tl  0.000  0.000  0.000
Sb  0.500  0.500  0.500
N  0.000  0.500  0.000
F  0.000  0.000  0.500

Energy above the lowest structure with this stoichiometry in meV per atom: 698
Density of states at the Fermi level in states/eV per cell: 1.34
Formation energy from raw total energies in eV/atom: 0.90
Volume in Å³ per cell: 77.3

No. 19
## TaFePt2 (PBEsol)

Data for a geometry-optimized TaFePt2 structure.

Cell: 3.791 3.791 3.956 Å, 90.00 90.00 90.00°
Space group P4/mmm (No. 123)
Asymmetric unit:
Ta  0.000  0.000  0.000
Fe  0.500  0.500  0.000
Pt  0.000  0.500  0.500

Energy above the lowest structure with this stoichiometry in meV per atom: 45
Density of states at the Fermi level in states/eV per cell: 2.49
E_form in eV/atom: -0.525
Volume in Å³ per cell: 56.9

No. 20
## TiOs3I (PBEsol)

Data for a geometry-optimized TiOs3I structure.

Cell: 4.580 4.580 4.580 Å, 90.00 90.00 90.00°
Space group Pm-3m (No. 221)
Asymmetric unit:
Ti  0.000  0.000  0.000
Os  0.000  0.000  0.500
I  0.500  0.500  0.500

Density of states at the Fermi level in states/eV per cell: 7.24
Formation energy from raw total energies in eV/atom: 2.15
Volume in Å³ per cell: 96.1